# PBE MgMn2RhC, relaxed
# **E_form**: -0.0903 eV/atom
# **Size of the total moment**: 5.03 μB per formula unit
# **Crystal system**: tetragonal
data_MgMn2RhC
_cell_length_a 3.9135
_cell_length_b 3.9135
_cell_length_c 4.1465
_cell_angle_alpha 90.00
_cell_angle_beta 90.00
_cell_angle_gamma 90.00
_symmetry_space_group_name_H-M 'P 1'
_symmetry_Int_Tables_number 1
loop_
_symmetry_equiv_pos_as_xyz
'x,y,z'
loop_
_atom_site_label
_atom_site_fract_x
_atom_site_fract_y
_atom_site_fract_z
Mg1 0.5000 0.5000 0.5000
Mn1 0.0000 0.5000 0.0000
Mn2 0.5000 0.0000 0.0000
Rh1 0.0000 0.0000 0.5000
C1 0.0000 0.0000 0.0000

# PBE MgMn2RuC, relaxed
# **E_form**: -0.0068 eV/atom
# **Size of the total moment**: 5.92 μB per formula unit
# **Crystal system**: tetragonal
data_MgMn2RuC
_cell_length_a 3.9845
_cell_length_b 3.9845
_cell_length_c 4.0576
_cell_angle_alpha 90.00
_cell_angle_beta 90.00
_cell_angle_gamma 90.00
_symmetry_space_group_name_H-M 'P 1'
_symmetry_Int_Tables_number 1
loop_
_symmetry_equiv_pos_as_xyz
'x,y,z'
loop_
_atom_site_label
_atom_site_fract_x
_atom_site_fract_y
_atom_site_fract_z
Ru1 0.0000 0.0000 0.5000
Mg1 0.5000 0.5000 0.5000
Mn1 0.0000 0.5000 0.0000
Mn2 0.5000 0.0000 0.0000
C1 0.0000 0.0000 0.0000

# PBE MgScMn2C, relaxed
# **E_form**: -0.0168 eV/atom
# **Size of the total moment**: 2.37 μB per formula unit
# **Crystal system**: tetragonal
data_MgScMn2C
_cell_length_a 3.8776
_cell_length_b 3.8776
_cell_length_c 4.4156
_cell_angle_alpha 90.00
_cell_angle_beta 90.00
_cell_angle_gamma 90.00
_symmetry_space_group_name_H-M 'P 1'
_symmetry_Int_Tables_number 1
loop_
_symmetry_equiv_pos_as_xyz
'x,y,z'
loop_
_atom_site_label
_atom_site_fract_x
_atom_site_fract_y
_atom_site_fract_z
Sc1 0.0000 0.0000 0.5000
Mg1 0.5000 0.5000 0.5000
Mn1 0.0000 0.5000 0.0000
Mn2 0.5000 0.0000 0.0000
C1 0.0000 0.0000 0.0000

# PBE SmMgMnC, relaxed
# **E_form**: 0.0730 eV/atom
# **Size of the total moment**: 0.75 μB per formula unit
# **Crystal system**: tetragonal
data_SmMgMnC
_cell_length_a 3.6667
_cell_length_b 3.6667
_cell_length_c 10.6337
_cell_angle_alpha 90.00
_cell_angle_beta 90.00
_cell_angle_gamma 90.00
_symmetry_space_group_name_H-M 'P 1'
_symmetry_Int_Tables_number 1
loop_
_symmetry_equiv_pos_as_xyz
'x,y,z'
loop_
_atom_site_label
_atom_site_fract_x
_atom_site_fract_y
_atom_site_fract_z
Sm1 0.7500 0.7500 0.2127
Sm2 0.2500 0.2500 0.7873
Mg1 0.2500 0.7500 0.5000
Mg2 0.7500 0.2500 0.5000
Mn1 0.7500 0.2500 0.0000
Mn2 0.2500 0.7500 0.0000
C1 0.7500 0.7500 0.9249
C2 0.2500 0.2500 0.0751

# PBE MgMnSn2C, relaxed
# **E_form**: 0.5856 eV/atom
# **Size of the total moment**: 0.10 μB per formula unit
# **Crystal system**: tetragonal
data_MgMnSn2C
_cell_length_a 5.1475
_cell_length_b 3.7087
_cell_length_c 5.1475
_cell_angle_alpha 90.00
_cell_angle_beta 90.00
_cell_angle_gamma 90.00
_symmetry_space_group_name_H-M 'P 1'
_symmetry_Int_Tables_number 1
loop_
_symmetry_equiv_pos_as_xyz
'x,y,z'
loop_
_atom_site_label
_atom_site_fract_x
_atom_site_fract_y
_atom_site_fract_z
C1 0.0000 0.5000 0.0000
Mg1 0.5000 0.5000 0.5000
Mn1 0.0000 0.0000 0.0000
Sn1 0.0000 0.0000 0.5000
Sn2 0.5000 0.0000 0.0000

# PBE TbMgMnC, relaxed
# **E_form**: 0.0725 eV/atom
# **Size of the total moment**: 0.69 μB per formula unit
# **Crystal system**: tetragonal
data_TbMgMnC
_cell_length_a 3.6522
_cell_length_b 3.6522
_cell_length_c 10.3822
_cell_angle_alpha 90.00
_cell_angle_beta 90.00
_cell_angle_gamma 90.00
_symmetry_space_group_name_H-M 'P 1'
_symmetry_Int_Tables_number 1
loop_
_symmetry_equiv_pos_as_xyz
'x,y,z'
loop_
_atom_site_label
_atom_site_fract_x
_atom_site_fract_y
_atom_site_fract_z
Tb1 0.7500 0.7500 0.2123
Tb2 0.2500 0.2500 0.7877
Mg1 0.2500 0.7500 0.5000
Mg2 0.7500 0.2500 0.5000
Mn1 0.7500 0.2500 0.0000
Mn2 0.2500 0.7500 0.0000
C1 0.7500 0.7500 0.9215
C2 0.2500 0.2500 0.0785

# PBE MgMn2TcC, relaxed
# **E_form**: 0.0608 eV/atom
# **Size of the total moment**: 6.29 μB per formula unit
# **Crystal system**: tetragonal
data_MgMn2TcC
_cell_length_a 4.0080
_cell_length_b 4.0080
_cell_length_c 4.1026
_cell_angle_alpha 90.00
_cell_angle_beta 90.00
_cell_angle_gamma 90.00
_symmetry_space_group_name_H-M 'P 1'
_symmetry_Int_Tables_number 1
loop_
_symmetry_equiv_pos_as_xyz
'x,y,z'
loop_
_atom_site_label
_atom_site_fract_x
_atom_site_fract_y
_atom_site_fract_z
C1 0.0000 0.0000 0.0000
Mg1 0.5000 0.5000 0.5000
Mn1 0.0000 0.5000 0.0000
Mn2 0.5000 0.0000 0.0000
Tc1 0.0000 0.0000 0.5000

# PBE MgMnTl2C, relaxed
# **E_form**: 2.3906 eV/atom
# **Size of the total moment**: 0.28 μB per formula unit
# **Crystal system**: tetragonal
data_MgMnTl2C
_cell_length_a 5.3495
_cell_length_b 4.7723
_cell_length_c 5.3495
_cell_angle_alpha 90.00
_cell_angle_beta 90.00
_cell_angle_gamma 90.00
_symmetry_space_group_name_H-M 'P 1'
_symmetry_Int_Tables_number 1
loop_
_symmetry_equiv_pos_as_xyz
'x,y,z'
loop_
_atom_site_label
_atom_site_fract_x
_atom_site_fract_y
_atom_site_fract_z
C1 0.5000 0.5000 0.5000
Tl1 0.0000 0.0000 0.5000
Tl2 0.5000 0.0000 0.0000
Mn1 0.0000 0.5000 0.0000
Mg1 0.0000 0.0000 0.0000

# PBE Mg2MnZnC, relaxed
# **E_form**: 0.1406 eV/atom
# **Size of the total moment**: 2.13 μB per formula unit
# **Crystal system**: tetragonal
data_Mg2MnZnC
_cell_length_a 4.4096
_cell_length_b 4.4096
_cell_length_c 3.8049
_cell_angle_alpha 90.00
_cell_angle_beta 90.00
_cell_angle_gamma 90.00
_symmetry_space_group_name_H-M 'P 1'
_symmetry_Int_Tables_number 1
loop_
_symmetry_equiv_pos_as_xyz
'x,y,z'
loop_
_atom_site_label
_atom_site_fract_x
_atom_site_fract_y
_atom_site_fract_z
C1 0.0000 0.0000 0.0000
Zn1 0.5000 0.5000 0.5000
Mn1 0.0000 0.0000 0.5000
Mg1 0.0000 0.5000 0.0000
Mg2 0.5000 0.0000 0.0000

# PBE MgMo3C, relaxed
# **E_form**: 0.2124 eV/atom
# **Size of the total moment**: 0.00 μB per formula unit
# **Energy relative to the lowest polymorph listed for this composition**: 0 meV per atom
# **Crystal system**: cubic
data_MgMo3C
_cell_length_a 4.1974
_cell_length_b 4.1974
_cell_length_c 4.1974
_cell_angle_alpha 90.00
_cell_angle_beta 90.00
_cell_angle_gamma 90.00
_symmetry_space_group_name_H-M 'P 1'
_symmetry_Int_Tables_number 1
loop_
_symmetry_equiv_pos_as_xyz
'x,y,z'
loop_
_atom_site_label
_atom_site_fract_x
_atom_site_fract_y
_atom_site_fract_z
C1 0.0000 0.0000 0.0000
Mo1 0.0000 0.5000 0.0000
Mo2 0.0000 0.0000 0.5000
Mo3 0.5000 0.0000 0.0000
Mg1 0.5000 0.5000 0.5000

# PBE Mg14MoC, relaxed
# **E_form**: 0.3444 eV/atom
# **Size of the total moment**: 0.00 μB per formula unit
# **Energy relative to the lowest polymorph listed for this composition**: 106 meV per atom
# **Crystal system**: hexagonal
data_Mg14MoC
_cell_length_a 6.2177
_cell_length_b 6.2177
_cell_length_c 9.5823
_cell_angle_alpha 90.00
_cell_angle_beta 90.00
_cell_angle_gamma 120.00
_symmetry_space_group_name_H-M 'P 1'
_symmetry_Int_Tables_number 1
loop_
_symmetry_equiv_pos_as_xyz
'x,y,z'
loop_
_atom_site_label
_atom_site_fract_x
_atom_site_fract_y
_atom_site_fract_z
Mg1 0.0064 0.5032 0.0000
Mg2 0.9951 0.4975 0.5000
Mg3 0.4968 0.9936 0.0000
Mg4 0.5025 0.0049 0.5000
Mg5 0.4968 0.5032 0.0000
Mg6 0.5025 0.4975 0.5000
Mg7 0.1545 0.8455 0.2611
Mg8 0.1545 0.8455 0.7389
Mg9 0.1545 0.3089 0.2611
Mg10 0.1545 0.3089 0.7389
Mg11 0.6911 0.8455 0.2611
Mg12 0.6911 0.8455 0.7389
Mg13 0.6667 0.3333 0.2471
Mg14 0.6667 0.3333 0.7529
Mo1 0.0000 0.0000 0.0000
C1 0.0000 0.0000 0.5000

# PBE MgMo3C, relaxed
# **E_form**: 3.4368 eV/atom
# **Size of the total moment**: 2.67 μB per formula unit
# **Energy relative to the lowest polymorph listed for this composition**: 3224 meV per atom
# **Crystal system**: cubic
data_MgMo3C
_cell_length_a 4.5534
_cell_length_b 4.5534
_cell_length_c 4.5534
_cell_angle_alpha 90.00
_cell_angle_beta 90.00
_cell_angle_gamma 90.00
_symmetry_space_group_name_H-M 'P 1'
_symmetry_Int_Tables_number 1
loop_
_symmetry_equiv_pos_as_xyz
'x,y,z'
loop_
_atom_site_label
_atom_site_fract_x
_atom_site_fract_y
_atom_site_fract_z
C1 0.5000 0.5000 0.5000
Mo1 0.0000 0.5000 0.0000
Mo2 0.0000 0.0000 0.5000
Mo3 0.5000 0.0000 0.0000
Mg1 0.0000 0.0000 0.0000

# PBE MgMoC2, relaxed
# **E_form**: 0.4825 eV/atom
# **Size of the total moment**: 0.00 μB per formula unit
# **Crystal system**: tetragonal
data_MgMoC2
_cell_length_a 4.9558
_cell_length_b 4.9558
_cell_length_c 5.8130
_cell_angle_alpha 64.77
_cell_angle_beta 64.77
_cell_angle_gamma 90.00
_symmetry_space_group_name_H-M 'P 1'
_symmetry_Int_Tables_number 1
loop_
_symmetry_equiv_pos_as_xyz
'x,y,z'
loop_
_atom_site_label
_atom_site_fract_x
_atom_site_fract_y
_atom_site_fract_z
C1 0.6731 0.1250 0.2500
C2 0.0769 0.6250 0.2500
C3 0.3750 0.3269 0.7500
C4 0.8750 0.9231 0.7500
Mo1 0.0000 0.0000 0.0000
Mo2 0.7500 0.2500 0.5000
Mg1 0.5000 0.5000 0.0000
Mg2 0.2500 0.7500 0.5000

# PBE Mg14MoC, relaxed
# **E_form**: 0.2384 eV/atom
# **Size of the total moment**: 0.00 μB per formula unit
# **Energy relative to the lowest polymorph listed for this composition**: 0 meV per atom
# **Crystal system**: orthorhombic
data_Mg14MoC
_cell_length_a 6.2658
_cell_length_b 6.2658
_cell_length_c 8.9961
_cell_angle_alpha 90.00
_cell_angle_beta 90.00
_cell_angle_gamma 105.58
_symmetry_space_group_name_H-M 'P 1'
_symmetry_Int_Tables_number 1
loop_
_symmetry_equiv_pos_as_xyz
'x,y,z'
loop_
_atom_site_label
_atom_site_fract_x
_atom_site_fract_y
_atom_site_fract_z
Mg1 0.3567 0.6433 0.5000
Mg2 0.8067 0.1933 0.5000
Mg3 0.8552 0.5406 0.0000
Mg4 0.8814 0.7169 0.5000
Mg5 0.4594 0.1448 0.0000
Mg6 0.2831 0.1186 0.5000
Mg7 0.7088 0.9104 0.8178
Mg8 0.7088 0.9104 0.1822
Mg9 0.0896 0.2912 0.8178
Mg10 0.0896 0.2912 0.1822
Mg11 0.1925 0.8075 0.7806
Mg12 0.1925 0.8075 0.2194
Mg13 0.5724 0.4276 0.7350
Mg14 0.5724 0.4276 0.2650
Mo1 0.3927 0.6073 0.0000
C1 0.8381 0.1619 0.0000

# PBE Mg2MoC, relaxed
# **E_form**: 0.6506 eV/atom
# **Size of the total moment**: 0.05 μB per formula unit
# **Crystal system**: tetragonal
data_Mg2MoC
_cell_length_a 7.7794
_cell_length_b 7.7794
_cell_length_c 5.8930
_cell_angle_alpha 48.70
_cell_angle_beta 48.70
_cell_angle_gamma 90.00
_symmetry_space_group_name_H-M 'P 1'
_symmetry_Int_Tables_number 1
loop_
_symmetry_equiv_pos_as_xyz
'x,y,z'
loop_
_atom_site_label
_atom_site_fract_x
_atom_site_fract_y
_atom_site_fract_z
C1 0.5000 0.5000 0.0000
C2 0.2500 0.7500 0.5000
Mo1 0.0000 0.0000 0.0000
Mo2 0.7500 0.2500 0.5000
Mg1 0.5070 0.1250 0.2500
Mg2 0.2430 0.6250 0.2500
Mg3 0.3750 0.4930 0.7500
Mg4 0.8750 0.7570 0.7500

# PBE Mg2MoCN, relaxed
# **Raw total energy**: -5.039 eV/atom
# **Size of the total moment**: 1.85 μB per formula unit
# **Crystal system**: tetragonal
data_Mg2MoCN
_cell_length_a 3.7526
_cell_length_b 5.0472
_cell_length_c 3.7526
_cell_angle_alpha 90.00
_cell_angle_beta 90.00
_cell_angle_gamma 90.00
_symmetry_space_group_name_H-M 'P 1'
_symmetry_Int_Tables_number 1
loop_
_symmetry_equiv_pos_as_xyz
'x,y,z'
loop_
_atom_site_label
_atom_site_fract_x
_atom_site_fract_y
_atom_site_fract_z
C1 0.0000 0.5000 0.0000
Mo1 0.5000 0.5000 0.5000
Mg1 0.0000 0.0000 0.5000
Mg2 0.5000 0.0000 0.0000
N1 0.0000 0.0000 0.0000

# PBE NaMg2MoC, relaxed
# **E_form**: 2.6497 eV/atom
# **Size of the total moment**: 2.67 μB per formula unit
# **Crystal system**: tetragonal
data_NaMg2MoC
_cell_length_a 5.0008
_cell_length_b 5.0829
_cell_length_c 5.0008
_cell_angle_alpha 90.00
_cell_angle_beta 90.00
_cell_angle_gamma 90.00
_symmetry_space_group_name_H-M 'P 1'
_symmetry_Int_Tables_number 1
loop_
_symmetry_equiv_pos_as_xyz
'x,y,z'
loop_
_atom_site_label
_atom_site_fract_x
_atom_site_fract_y
_atom_site_fract_z
C1 0.5000 0.5000 0.5000
Na1 0.0000 0.0000 0.0000
Mo1 0.0000 0.5000 0.0000
Mg1 0.0000 0.0000 0.5000
Mg2 0.5000 0.0000 0.0000

# PBE MgNbMoC2, relaxed
# **E_form**: 2.1443 eV/atom
# **Size of the total moment**: 0.00 μB per formula unit
# **Crystal system**: tetragonal
data_MgNbMoC2
_cell_length_a 4.0868
_cell_length_b 5.1013
_cell_length_c 4.0868
_cell_angle_alpha 90.00
_cell_angle_beta 90.00
_cell_angle_gamma 90.00
_symmetry_space_group_name_H-M 'P 1'
_symmetry_Int_Tables_number 1
loop_
_symmetry_equiv_pos_as_xyz
'x,y,z'
loop_
_atom_site_label
_atom_site_fract_x
_atom_site_fract_y
_atom_site_fract_z
Mg1 0.0000 0.5000 0.0000
C1 0.0000 0.0000 0.5000
C2 0.5000 0.0000 0.0000
Mo1 0.5000 0.5000 0.5000
Nb1 0.0000 0.0000 0.0000

# PBE MgMoPd2C, relaxed
# **E_form**: 0.0760 eV/atom
# **Size of the total moment**: 1.20 μB per formula unit
# **Crystal system**: tetragonal
data_MgMoPd2C
_cell_length_a 4.2227
_cell_length_b 4.1303
_cell_length_c 4.2227
_cell_angle_alpha 90.00
_cell_angle_beta 90.00
_cell_angle_gamma 90.00
_symmetry_space_group_name_H-M 'P 1'
_symmetry_Int_Tables_number 1
loop_
_symmetry_equiv_pos_as_xyz
'x,y,z'
loop_
_atom_site_label
_atom_site_fract_x
_atom_site_fract_y
_atom_site_fract_z
C1 0.0000 0.0000 0.0000
Mo1 0.0000 0.5000 0.0000
Mg1 0.5000 0.5000 0.5000
Pd1 0.0000 0.0000 0.5000
Pd2 0.5000 0.0000 0.0000

# PBE MgReMo2C, relaxed
# **E_form**: 2.4830 eV/atom
# **Size of the total moment**: 0.78 μB per formula unit
# **Crystal system**: tetragonal
data_MgReMo2C
_cell_length_a 4.6999
_cell_length_b 3.6032
_cell_length_c 4.6999
_cell_angle_alpha 90.00
_cell_angle_beta 90.00
_cell_angle_gamma 90.00
_symmetry_space_group_name_H-M 'P 1'
_symmetry_Int_Tables_number 1
loop_
_symmetry_equiv_pos_as_xyz
'x,y,z'
loop_
_atom_site_label
_atom_site_fract_x
_atom_site_fract_y
_atom_site_fract_z
C1 0.0000 0.5000 0.0000
Re1 0.5000 0.5000 0.5000
Mo1 0.0000 0.0000 0.5000
Mo2 0.5000 0.0000 0.0000
Mg1 0.0000 0.0000 0.0000